(1)
Compound: NaFe3Te
Source: Alexandria via LeMat-Bulk
Functional: GGA-PBE
Structure: relaxed

Cell lengths 4.326, 4.326, 4.326 Å; angles 90.00, 90.00, 90.00 degrees
Space group Pm-3m (No. 221)
One atom of each set of equivalent atoms:
1 Na 0.000 0.000 0.000 [1 per cell]
2 Fe 0.000 0.000 0.500 [3 per cell]
3 Te 0.500 0.500 0.500 [1 per cell]

The calculation puts the volume at 16.19 Å³/atom. Its energy relative to the elements, uncorrected is 2.23 eV/atom. The energy relative to the lowest polymorph listed for this composition comes out at 1238.1 meV/atom. The crystal system is cubic. Its density is 6.5 g cm⁻³.

(2)
Compound: LaYTl2
Source: Alexandria via LeMat-Bulk
Functional: GGA-PBE
Structure: relaxed

Cell lengths 3.8480, 3.8480, 29.6392 Å; angles 90.00, 90.00, 120.00 degrees
Space group R-3m (No. 166, hexagonal axes)
One atom of each set of equivalent atoms:
1 La 0.0000 0.0000 0.0000 [3 per cell]
2 Y 0.0000 0.0000 0.5000 [3 per cell]
3 Tl 0.0000 0.0000 0.2468 [6 per cell]

The calculation puts the volume at 31.67 Å³/atom. The crystal system is trigonal. The calculation puts the total DFT energy (no corrections) at -17.204 eV/f.u. Its density is 8.3 g cm⁻³.

(3)
Compound: La2Pm5Sm
Source: Alexandria via LeMat-Bulk
Functional: GGA-PBE
Structure: relaxed

Cell lengths 5.755, 12.089, 16.405 Å; angles 90.00, 90.00, 90.00 degrees
Space group Cmcm (No. 63)
One atom of each set of equivalent atoms:
1 La 0.000 0.220 0.130 [8 per cell]
2 Pm 0.000 0.077 0.591 [8 per cell]
3 Pm 0.000 0.382 0.551 [8 per cell]
4 Pm 0.000 0.463 0.250 [4 per cell]
5 Sm 0.000 0.259 0.750 [4 per cell]

The calculation puts the volume at 35.66 Å³/atom. The energy relative to the lowest polymorph listed for this composition comes out at 0.0 meV/atom. The crystal system is orthorhombic. Its density is 6.7 g cm⁻³.

(4)
Compound: AcCeCl2
Source: Alexandria via LeMat-Bulk
Functional: GGA-PBE
Structure: relaxed

Cell lengths 3.7767, 3.7767, 30.4991 Å; angles 90.00, 90.00, 120.00 degrees
Space group R-3m (No. 166, hexagonal axes)
One atom of each set of equivalent atoms:
1 Ac 0.0000 0.0000 0.0000 [3 per cell]
2 Ce 0.0000 0.0000 0.5000 [3 per cell]
3 Cl 0.0000 0.0000 0.4059 [6 per cell]

The calculation puts the volume at 31.39 Å³/atom. Its energy relative to the elements, uncorrected is -1.27 eV/atom. The crystal system is trigonal. Its density is 5.8 g cm⁻³.

(5)
Compound: LiCd2In4
Source: Alexandria via LeMat-Bulk
Functional: GGA-PBE
Structure: relaxed

Cell lengths 8.127, 5.852, 8.307 Å; angles 90.00, 117.97, 90.00 degrees
Space group P2_1/m (No. 11)
One atom of each set of equivalent atoms:
1 Li 0.028 0.250 0.284 [2 per cell]
2 Cd 0.037 0.250 0.932 [2 per cell]
3 Cd 0.194 0.750 0.503 [2 per cell]
4 In 0.238 0.250 0.692 [2 per cell]
5 In 0.373 0.002 0.281 [4 per cell]
6 In 0.386 0.750 0.930 [2 per cell]

The calculation puts the volume at 24.93 Å³/atom. The energy relative to the lowest polymorph listed for this composition comes out at 0.0 meV/atom. The crystal system is monoclinic. Its density is 6.6 g cm⁻³.

(6)
Compound: CoSb2As
Source: Alexandria via LeMat-Bulk
Functional: GGA-PBE
Structure: relaxed

Cell lengths 3.867, 4.850, 9.256 Å; angles 90.00, 90.00, 90.00 degrees
Space group Amm2 (No. 38)
One atom of each set of equivalent atoms:
1 Co 0.000 0.000 0.000 [2 per cell]
2 Sb 0.000 0.000 0.502 [2 per cell]
3 Sb 0.500 0.000 0.184 [2 per cell]
4 As 0.500 0.000 0.845 [2 per cell]

The calculation puts the volume at 21.70 Å³/atom. Its energy relative to the elements, uncorrected is 0.02 eV/atom. The crystal system is orthorhombic. Its density is 7.2 g cm⁻³.

(7)
Compound: AlNiSe2
Source: Alexandria via LeMat-Bulk
Functional: GGA-PBE
Structure: relaxed

Cell lengths 6.468, 6.468, 6.468 Å; angles 90.00, 90.00, 90.00 degrees
Space group F-43m (No. 216)
One atom of each set of equivalent atoms:
1 Al 0.000 0.000 0.000 [4 per cell]
2 Ni 0.250 0.250 0.250 [4 per cell]
3 Se 0.000 0.000 0.500 [4 per cell]
4 Se 0.250 0.250 0.750 [4 per cell]

The calculation puts the volume at 16.91 Å³/atom. Its energy relative to the elements, uncorrected is 0.36 eV/atom. The crystal system is cubic. Its density is 6.0 g cm⁻³.

(8)
Compound: Te2RuN2
Source: Alexandria via LeMat-Bulk
Functional: GGA-PBE
Structure: relaxed

Cell lengths 5.406, 5.406, 3.611 Å; angles 90.00, 90.00, 90.00 degrees
Space group P4/mmm (No. 123)
One atom of each set of equivalent atoms:
1 Te 0.000 0.500 0.000 [2 per cell]
2 Ru 0.000 0.000 0.000 [1 per cell]
3 N 0.000 0.000 0.500 [1 per cell]
4 N 0.500 0.500 0.500 [1 per cell]

The calculation puts the volume at 21.11 Å³/atom. Its energy relative to the elements, uncorrected is 1.32 eV/atom. The energy relative to the lowest polymorph listed for this composition comes out at 347.3 meV/atom. The crystal system is tetragonal. Its density is 6.0 g cm⁻³.

(9)
Compound: ReMo3
Source: Alexandria via LeMat-Bulk
Functional: GGA-PBE
Structure: relaxed

Cell lengths 2.7893, 2.7893, 28.1816 Å; angles 90.00, 90.00, 120.00 degrees
Space group R-3m (No. 166, hexagonal axes)
One atom of each set of equivalent atoms:
1 Re 0.0000 0.0000 0.0000 [3 per cell]
2 Mo 0.0000 0.0000 0.2531 [6 per cell]
3 Mo 0.0000 0.0000 0.5000 [3 per cell]

The calculation puts the volume at 15.82 Å³/atom. The crystal system is trigonal. The calculation puts the total DFT energy (no corrections) at -43.785 eV/f.u. Its density is 12.4 g cm⁻³.

(10)
Compound: Pm3Ge4Pt2
Source: Alexandria via LeMat-Bulk
Functional: GGA-PBE
Structure: relaxed

Cell lengths 10.715, 4.437, 8.537 Å; angles 90.00, 106.90, 90.00 degrees
Space group C2/m (No. 12)
One atom of each set of equivalent atoms:
1 Pm 0.000 0.000 0.000 [2 per cell]
2 Pm 0.138 0.500 0.687 [4 per cell]
3 Ge 0.100 0.000 0.427 [4 per cell]
4 Ge 0.221 0.500 0.063 [4 per cell]
5 Pt 0.146 0.500 0.313 [4 per cell]

The calculation puts the volume at 21.58 Å³/atom. The crystal system is monoclinic. The calculation puts the total DFT energy (no corrections) at -53.271 eV/f.u. Its density is 9.5 g cm⁻³.